Computed, not measured: an optimized crystal structure of NdHo2Er6Sc at the PBE level of DFT.

Lattice parameters (Å, degrees): 9.3140 8.6538 8.6538 117.12 93.34 93.34
Positions (direct):
Er 0.3859 0.5104 0.2921
Er 0.1878 0.5613 0.0061
Nd 0.7500 0.0254 0.9746
Ho 0.4501 0.7971 0.6921
Er 0.4429 0.2471 0.8729
Nd 0.2500 0.9746 0.0254
Sc 0.7500 0.5861 0.4139
Ho 0.0499 0.3079 0.2029
Ho 0.5499 0.2029 0.3079
Er 0.6878 0.0061 0.5613
Sc 0.2500 0.4139 0.5861
Er 0.5571 0.7529 0.1271
Er 0.9429 0.8729 0.2471
Er 0.8859 0.2921 0.5104
Er 0.0571 0.1271 0.7529
Er 0.6141 0.4896 0.7079
Ho 0.9501 0.6921 0.7971
Er 0.8122 0.4387 0.9939
Er 0.1141 0.7079 0.4896
Er 0.3122 0.9939 0.4387

Summary:
formation energy from the elements = 0.129 eV/atom
density of states at the Fermi level = 1.387 states/eV per atom